{
  "formula": "Cr4Os",
  "functional": "PBE",
  "state": "relaxed",
  "lattice_angstrom": [[-2.728, 2.728, 2.728], [2.728, -2.728, 2.728], [2.728, 2.728, -2.728]],
  "species": ["Cr", "Cr", "Cr", "Cr", "Os"],
  "fractional_positions": [[0.000, 0.000, 0.500], [0.000, 0.500, 0.000], [0.500, 0.000, 0.000], [0.500, 0.500, 0.500], [0.000, 0.000, 0.000]],
  "spacegroup": "Im-3m",
  "crystal_system": "cubic",
  "ef_ev_per_atom": 1.4034
}

---

{
  "formula": "Pr2Ga3Pt2",
  "functional": "PBE",
  "state": "relaxed",
  "lattice_angstrom": [[2.134, -9.389, 0.000], [2.134, 9.389, 0.000], [0.000, 0.000, 7.329]],
  "species": ["Pr", "Pr", "Pr", "Pr", "Ga", "Ga", "Ga", "Ga", "Ga", "Ga", "Pt", "Pt", "Pt", "Pt"],
  "fractional_positions": [[0.064, 0.936, 0.750], [0.158, 0.842, 0.250], [0.842, 0.158, 0.750], [0.936, 0.064, 0.250], [0.228, 0.772, 0.750], [0.442, 0.558, 0.577], [0.442, 0.558, 0.923], [0.558, 0.442, 0.077], [0.558, 0.442, 0.423], [0.772, 0.228, 0.250], [0.311, 0.689, 0.052], [0.311, 0.689, 0.448], [0.689, 0.311, 0.552], [0.689, 0.311, 0.948]],
  "spacegroup": "Cmcm",
  "crystal_system": "orthorhombic",
  "ef_ev_per_atom": -0.8522
}

---

{
  "formula": "Li5CaZn2",
  "functional": "PBE",
  "state": "relaxed",
  "lattice_angstrom": [[-2.052, 4.071, 5.033], [2.052, -4.071, 5.033], [2.052, 4.071, -5.033]],
  "species": ["Li", "Li", "Li", "Li", "Li", "Ca", "Zn", "Zn"],
  "fractional_positions": [[0.000, 0.000, 0.000], [0.030, 0.344, 0.686], [0.342, 0.656, 0.686], [0.658, 0.344, 0.314], [0.970, 0.656, 0.314], [0.500, 0.000, 0.500], [0.263, 0.263, 0.000], [0.737, 0.737, 0.000]],
  "spacegroup": "Immm",
  "crystal_system": "orthorhombic",
  "ef_ev_per_atom": -0.0744
}

---

What did the third record say?
{
  "formula": "Li5CaZn2",
  "functional": "PBE",
  "state": "relaxed",
  "lattice_angstrom": [[-2.052, 4.071, 5.033], [2.052, -4.071, 5.033], [2.052, 4.071, -5.033]],
  "species": ["Li", "Li", "Li", "Li", "Li", "Ca", "Zn", "Zn"],
  "fractional_positions": [[0.000, 0.000, 0.000], [0.030, 0.344, 0.686], [0.342, 0.656, 0.686], [0.658, 0.344, 0.314], [0.970, 0.656, 0.314], [0.500, 0.000, 0.500], [0.263, 0.263, 0.000], [0.737, 0.737, 0.000]],
  "spacegroup": "Immm",
  "crystal_system": "orthorhombic",
  "ef_ev_per_atom": -0.0744
}

---

Question: Which formula does entry 1 have?
Answer: Cr4Os